! Zn2Pd (GGA-PBE, relaxed); values from VASP
! * D(E_F): 1.47 states/eV/cell
! * DFT total energy: -3.00 eV per atom
! * energy relative to the elements: -0.418 eV per atom
&SYSTEM
  ibrav = 0, nat = 6, ntyp = 2
/
ATOMIC_SPECIES
Zn 65.41 Zn.upf
Pd 106.42 Pd.upf
ATOMIC_POSITIONS crystal
Zn 0.970 0.556 0.747
Zn 0.030 0.444 0.253
Zn 0.309 0.222 0.753
Zn 0.691 0.778 0.247
Pd 0.639 0.889 0.750
Pd 0.361 0.111 0.250
CELL_PARAMETERS angstrom
4.668 0.016 -0.035
-2.230 4.100 0.035
-1.585 -1.841 4.549

! Zn4Pd (GGA-PBE, relaxed); values from VASP
! * D(E_F): 1.93 states/eV/cell
! * DFT total energy: -1.88 eV per atom
! * energy relative to the elements: 0.183 eV per atom
&SYSTEM
  ibrav = 0, nat = 5, ntyp = 2
/
ATOMIC_SPECIES
Zn 65.41 Zn.upf
Pd 106.42 Pd.upf
ATOMIC_POSITIONS crystal
Zn 0.000 0.000 0.000
Zn 0.500 0.000 0.500
Zn 0.000 0.500 0.500
Zn 0.500 0.500 0.000
Pd 0.500 0.500 0.500
CELL_PARAMETERS angstrom
4.836 0.000 0.000
0.000 4.836 0.000
0.000 0.000 4.836

! ZnPd (GGA-PBE, relaxed); values from VASP
! * D(E_F): 3.05 states/eV/cell
! * DFT total energy: -2.90 eV per atom
! * energy relative to the elements: 0.329 eV per atom
&SYSTEM
  ibrav = 0, nat = 8, ntyp = 2
/
ATOMIC_SPECIES
Zn 65.41 Zn.upf
Pd 106.42 Pd.upf
ATOMIC_POSITIONS crystal
Zn 0.250 0.250 0.250
Zn 0.250 0.750 0.750
Zn 0.750 0.250 0.750
Zn 0.750 0.750 0.250
Pd 0.000 0.000 0.000
Pd 0.000 0.500 0.500
Pd 0.500 0.000 0.500
Pd 0.500 0.500 0.000
CELL_PARAMETERS angstrom
-5.392 0.941 1.417
-1.543 -0.720 -5.392
-0.717 -5.529 0.944

! ZnPd (GGA-PBE, relaxed); values from VASP
! * D(E_F): 5.42 states/eV/cell
! * DFT total energy: -3.48 eV per atom
! * energy relative to the elements: -0.248 eV per atom
&SYSTEM
  ibrav = 0, nat = 12, ntyp = 2
/
ATOMIC_SPECIES
Zn 65.41 Zn.upf
Pd 106.42 Pd.upf
ATOMIC_POSITIONS crystal
Zn 0.789 0.063 0.250
Zn 0.726 0.789 0.750
Zn 0.937 0.726 0.250
Zn 0.211 0.937 0.750
Zn 0.274 0.211 0.250
Zn 0.063 0.274 0.750
Pd 0.096 0.456 0.250
Pd 0.640 0.096 0.750
Pd 0.544 0.640 0.250
Pd 0.904 0.544 0.750
Pd 0.360 0.904 0.250
Pd 0.456 0.360 0.750
CELL_PARAMETERS angstrom
7.110 0.000 0.000
-3.555 6.158 0.000
0.000 0.000 4.528

! Zn2Pd5 (GGA-PBE, relaxed); values from VASP
! * D(E_F): 7.33 states/eV/cell
! * DFT total energy: -4.43 eV per atom
! * energy above the most stable polymorph in this dataset: 0 meV per atom
! * energy relative to the elements: -0.353 eV per atom
&SYSTEM
  ibrav = 0, nat = 14, ntyp = 2
/
ATOMIC_SPECIES
Zn 65.41 Zn.upf
Pd 106.42 Pd.upf
ATOMIC_POSITIONS crystal
Zn 0.226 0.396 0.846
Zn 0.380 0.104 0.154
Zn 0.774 0.604 0.154
Zn 0.620 0.896 0.846
Pd 0.325 0.457 0.266
Pd 0.059 0.043 0.734
Pd 0.101 0.679 0.565
Pd 0.535 0.821 0.435
Pd 0.899 0.321 0.435
Pd 0.465 0.179 0.565
Pd 0.941 0.957 0.266
Pd 0.675 0.543 0.734
Pd 0.784 0.250 0.000
Pd 0.216 0.750 0.000
CELL_PARAMETERS angstrom
4.648 0.000 0.000
0.000 7.260 0.262
-2.324 -0.810 6.178

! ZnPd3 (GGA-PBE, relaxed); values from VASP
! * D(E_F): 10.00 states/eV/cell
! * DFT total energy: -4.53 eV per atom
! * energy relative to the elements: -0.317 eV per atom
&SYSTEM
  ibrav = 0, nat = 8, ntyp = 2
/
ATOMIC_SPECIES
Zn 65.41 Zn.upf
Pd 106.42 Pd.upf
ATOMIC_POSITIONS crystal
Zn 0.123 0.123 0.247
Zn 0.877 0.877 0.753
Pd 0.500 0.000 0.000
Pd 0.000 0.500 0.000
Pd 0.750 0.250 0.500
Pd 0.250 0.750 0.500
Pd 0.375 0.375 0.749
Pd 0.625 0.625 0.251
CELL_PARAMETERS angstrom
3.914 -0.001 -0.001
-0.001 3.914 -0.001
-1.959 -1.959 7.823

! Zn6Pd5 (GGA-PBE, relaxed); values from VASP
! * D(E_F): 4.71 states/eV/cell
! * DFT total energy: -3.54 eV per atom
! * energy relative to the elements: -0.483 eV per atom
&SYSTEM
  ibrav = 0, nat = 11, ntyp = 2
/
ATOMIC_SPECIES
Zn 65.41 Zn.upf
Pd 106.42 Pd.upf
ATOMIC_POSITIONS crystal
Zn 0.500 0.773 0.000
Zn 0.500 0.227 0.000
Zn 0.839 0.077 0.678
Zn 0.839 0.601 0.678
Zn 0.161 0.923 0.322
Zn 0.161 0.399 0.322
Pd 0.000 0.500 0.000
Pd 0.660 0.660 0.320
Pd 0.340 0.340 0.680
Pd 0.327 0.827 0.654
Pd 0.673 0.173 0.346
CELL_PARAMETERS angstrom
4.132 0.005 -1.279
-0.689 5.501 -2.206
0.047 -0.236 7.465

! ZnPd3 (GGA-PBE, relaxed); values from VASP
! * D(E_F): 4.21 states/eV/cell
! * DFT total energy: -4.53 eV per atom
! * energy relative to the elements: -0.317 eV per atom
&SYSTEM
  ibrav = 0, nat = 4, ntyp = 2
/
ATOMIC_SPECIES
Zn 65.41 Zn.upf
Pd 106.42 Pd.upf
ATOMIC_POSITIONS crystal
Zn 0.000 0.000 0.000
Pd 0.750 0.250 0.500
Pd 0.250 0.750 0.500
Pd 0.500 0.500 0.000
CELL_PARAMETERS angstrom
3.951 0.000 0.000
0.000 3.951 0.000
-1.975 -1.975 3.846

! ZnPd2 (GGA-PBE, relaxed); values from VASP
! * D(E_F): 1.58 states/eV/cell
! * DFT total energy: -4.08 eV per atom
! * energy relative to the elements: -0.192 eV per atom
&SYSTEM
  ibrav = 0, nat = 3, ntyp = 2
/
ATOMIC_SPECIES
Zn 65.41 Zn.upf
Pd 106.42 Pd.upf
ATOMIC_POSITIONS crystal
Zn 0.000 0.000 0.000
Pd 0.748 0.250 0.500
Pd 0.252 0.750 0.500
CELL_PARAMETERS angstrom
-0.214 3.983 -1.128
-1.134 -1.141 -3.816
-2.159 -1.314 3.281

! ZnPd (GGA-PBE, relaxed); values from VASP
! * D(E_F): 9.22 states/eV/cell
! * DFT total energy: -3.54 eV per atom
! * energy relative to the elements: -0.309 eV per atom
&SYSTEM
  ibrav = 0, nat = 32, ntyp = 2
/
ATOMIC_SPECIES
Zn 65.41 Zn.upf
Pd 106.42 Pd.upf
ATOMIC_POSITIONS crystal
Zn 0.188 0.000 0.000
Zn 0.812 0.000 0.000
Zn 0.062 0.750 0.250
Zn 0.438 0.750 0.250
Zn 0.188 0.500 0.500
Zn 0.812 0.500 0.500
Zn 0.062 0.250 0.750
Zn 0.438 0.250 0.750
Zn 0.688 0.000 0.500
Zn 0.312 0.000 0.500
Zn 0.562 0.750 0.750
Zn 0.938 0.750 0.750
Zn 0.688 0.500 0.000
Zn 0.312 0.500 0.000
Zn 0.562 0.250 0.250
Zn 0.938 0.250 0.250
Pd 0.000 0.691 0.000
Pd 0.000 0.309 0.000
Pd 0.250 0.059 0.250
Pd 0.250 0.441 0.250
Pd 0.000 0.191 0.500
Pd 0.000 0.809 0.500
Pd 0.250 0.559 0.750
Pd 0.250 0.941 0.750
Pd 0.500 0.691 0.500
Pd 0.500 0.309 0.500
Pd 0.750 0.059 0.750
Pd 0.750 0.441 0.750
Pd 0.500 0.191 0.000
Pd 0.500 0.809 0.000
Pd 0.750 0.559 0.250
Pd 0.750 0.941 0.250
CELL_PARAMETERS angstrom
6.776 0.000 0.000
0.000 7.532 0.000
0.000 0.000 9.844

! ZnPd (GGA-PBE, relaxed); values from VASP
! * D(E_F): 1.10 states/eV/cell
! * DFT total energy: -3.59 eV per atom
! * energy relative to the elements: -0.361 eV per atom
&SYSTEM
  ibrav = 0, nat = 4, ntyp = 2
/
ATOMIC_SPECIES
Zn 65.41 Zn.upf
Pd 106.42 Pd.upf
ATOMIC_POSITIONS crystal
Zn 0.500 0.000 0.194
Zn 0.500 0.500 0.694
Pd 0.000 0.000 0.474
Pd 0.000 0.500 0.974
CELL_PARAMETERS angstrom
-1.401 -1.979 -1.579
2.469 -1.209 -0.674
-0.536 -4.526 6.152

! Zn4Pd (GGA-PBE, relaxed); values from VASP
! * D(E_F): 1.71 states/eV/cell
! * DFT total energy: -1.91 eV per atom
! * energy relative to the elements: 0.148 eV per atom
&SYSTEM
  ibrav = 0, nat = 5, ntyp = 2
/
ATOMIC_SPECIES
Zn 65.41 Zn.upf
Pd 106.42 Pd.upf
ATOMIC_POSITIONS crystal
Zn 0.250 0.500 0.750
Zn 0.750 0.500 0.250
Zn 0.655 0.310 0.655
Zn 0.345 0.690 0.345
Pd 0.000 0.000 0.000
CELL_PARAMETERS angstrom
4.747 0.000 0.000
-2.374 3.754 -2.374
0.000 0.000 4.747

! ZnPd2 (GGA-PBE, relaxed); values from VASP
! * D(E_F): 0.52 states/eV/cell
! * DFT total energy: -4.33 eV per atom
! * energy relative to the elements: -0.440 eV per atom
&SYSTEM
  ibrav = 0, nat = 3, ntyp = 2
/
ATOMIC_SPECIES
Zn 65.41 Zn.upf
Pd 106.42 Pd.upf
ATOMIC_POSITIONS crystal
Zn 0.000 0.000 0.000
Pd 0.656 0.656 0.312
Pd 0.344 0.344 0.688
CELL_PARAMETERS angstrom
-1.373 1.302 -2.238
-0.238 -2.587 -1.358
-3.716 -0.154 4.109

! Zn3Pd (GGA-PBE, relaxed); values from VASP
! * D(E_F): 1.09 states/eV/cell
! * DFT total energy: -2.60 eV per atom
! * energy relative to the elements: -0.350 eV per atom
&SYSTEM
  ibrav = 0, nat = 4, ntyp = 2
/
ATOMIC_SPECIES
Zn 65.41 Zn.upf
Pd 106.42 Pd.upf
ATOMIC_POSITIONS crystal
Zn 0.750 0.250 0.500
Zn 0.250 0.750 0.500
Zn 0.500 0.500 0.000
Pd 0.000 0.000 0.000
CELL_PARAMETERS angstrom
3.787 0.000 0.000
0.000 3.787 0.000
-1.894 -1.894 4.027

! Zn2Pd5 (GGA-PBE, relaxed); values from VASP
! * D(E_F): 7.72 states/eV/cell
! * DFT total energy: -4.39 eV per atom
! * energy above the most stable polymorph in this dataset: 38 meV per atom
! * energy relative to the elements: -0.316 eV per atom
&SYSTEM
  ibrav = 0, nat = 14, ntyp = 2
/
ATOMIC_SPECIES
Zn 65.41 Zn.upf
Pd 106.42 Pd.upf
ATOMIC_POSITIONS crystal
Zn 0.378 0.657 0.755
Zn 0.622 0.343 0.245
Zn 0.878 0.098 0.755
Zn 0.122 0.902 0.245
Pd 0.092 0.264 0.184
Pd 0.908 0.736 0.816
Pd 0.592 0.920 0.184
Pd 0.408 0.080 0.816
Pd 0.479 0.729 0.457
Pd 0.021 0.271 0.543
Pd 0.521 0.271 0.543
Pd 0.979 0.729 0.457
Pd 0.750 0.500 0.000
Pd 0.250 0.500 0.000
CELL_PARAMETERS angstrom
-3.672 -3.666 -1.793
2.653 -4.485 3.736
-3.242 5.622 3.550

! ZnPd (GGA-PBE, relaxed); values from VASP
! * D(E_F): 3.98 states/eV/cell
! * DFT total energy: -3.41 eV per atom
! * energy relative to the elements: -0.180 eV per atom
&SYSTEM
  ibrav = 0, nat = 16, ntyp = 2
/
ATOMIC_SPECIES
Zn 65.41 Zn.upf
Pd 106.42 Pd.upf
ATOMIC_POSITIONS crystal
Zn 0.811 0.311 0.000
Zn 0.811 0.689 0.500
Zn 0.189 0.311 0.500
Zn 0.189 0.689 0.000
Zn 0.689 0.189 0.500
Zn 0.689 0.811 0.000
Zn 0.311 0.189 0.000
Zn 0.311 0.811 0.500
Pd 0.393 0.893 0.000
Pd 0.393 0.107 0.500
Pd 0.607 0.893 0.500
Pd 0.607 0.107 0.000
Pd 0.107 0.607 0.500
Pd 0.107 0.393 0.000
Pd 0.893 0.607 0.000
Pd 0.893 0.393 0.500
CELL_PARAMETERS angstrom
8.751 0.000 0.000
0.000 8.751 0.000
0.000 0.000 4.605

! ZnPd (GGA-PBE, relaxed); values from VASP
! * D(E_F): 5.44 states/eV/cell
! * DFT total energy: -3.00 eV per atom
! * energy relative to the elements: 0.234 eV per atom
&SYSTEM
  ibrav = 0, nat = 16, ntyp = 2
/
ATOMIC_SPECIES
Zn 65.41 Zn.upf
Pd 106.42 Pd.upf
ATOMIC_POSITIONS crystal
Zn 0.191 0.191 0.191
Zn 0.191 0.809 0.809
Zn 0.809 0.191 0.809
Zn 0.809 0.809 0.191
Zn 0.691 0.691 0.691
Zn 0.691 0.309 0.309
Zn 0.309 0.691 0.309
Zn 0.309 0.309 0.691
Pd 0.373 0.373 0.373
Pd 0.373 0.627 0.627
Pd 0.627 0.373 0.627
Pd 0.627 0.627 0.373
Pd 0.873 0.873 0.873
Pd 0.873 0.127 0.127
Pd 0.127 0.873 0.127
Pd 0.127 0.127 0.873
CELL_PARAMETERS angstrom
7.730 0.000 0.000
0.000 7.730 0.000
0.000 0.000 7.730

! Zn3Pd13 (GGA-PBE, relaxed); values from VASP
! * D(E_F): 22.41 states/eV/cell
! * DFT total energy: -4.69 eV per atom
! * energy relative to the elements: -0.233 eV per atom
&SYSTEM
  ibrav = 0, nat = 16, ntyp = 2
/
ATOMIC_SPECIES
Zn 65.41 Zn.upf
Pd 106.42 Pd.upf
ATOMIC_POSITIONS crystal
Zn 0.008 0.992 0.742
Zn 0.730 0.270 0.000
Zn 0.008 0.992 0.258
Pd 0.996 0.493 0.754
Pd 0.500 0.500 0.755
Pd 0.507 0.004 0.754
Pd 0.223 0.233 0.000
Pd 0.767 0.777 0.000
Pd 0.256 0.744 0.000
Pd 0.996 0.493 0.246
Pd 0.500 0.500 0.245
Pd 0.507 0.004 0.246
Pd 0.749 0.251 0.500
Pd 0.246 0.245 0.500
Pd 0.755 0.754 0.500
Pd 0.253 0.747 0.500
CELL_PARAMETERS angstrom
5.546 -0.111 0.000
-0.109 5.546 0.000
0.000 0.000 7.859

! ZnPd (GGA-PBE, relaxed); values from VASP
! * D(E_F): 2.60 states/eV/cell
! * DFT total energy: -3.73 eV per atom
! * energy relative to the elements: -0.495 eV per atom
&SYSTEM
  ibrav = 0, nat = 8, ntyp = 2
/
ATOMIC_SPECIES
Zn 65.41 Zn.upf
Pd 106.42 Pd.upf
ATOMIC_POSITIONS crystal
Zn 0.311 0.000 0.626
Zn 0.689 0.000 0.374
Zn 0.311 0.500 0.126
Zn 0.689 0.500 0.874
Pd 0.194 0.000 0.883
Pd 0.806 0.000 0.117
Pd 0.194 0.500 0.383
Pd 0.806 0.500 0.617
CELL_PARAMETERS angstrom
4.466 0.000 -0.005
0.000 2.880 0.000
-2.748 0.000 9.110

! Zr3ZnPd (GGA-PBE, relaxed); values from VASP
! * D(E_F): 8.46 states/eV/cell
! * DFT total energy: -5.92 eV per atom
! * energy above the most stable polymorph in this dataset: 674 meV per atom
! * energy relative to the elements: 0.506 eV per atom
&SYSTEM
  ibrav = 0, nat = 5, ntyp = 3
/
ATOMIC_SPECIES
Zn 65.41 Zn.upf
Zr 91.22 Zr.upf
Pd 106.42 Pd.upf
ATOMIC_POSITIONS crystal
Zn 0.500 0.500 0.500
Zr 0.000 0.500 0.000
Zr 0.000 0.000 0.500
Zr 0.500 0.000 0.000
Pd 0.000 0.000 0.000
CELL_PARAMETERS angstrom
-2.559 4.090 1.512
-3.983 -2.906 1.121
1.776 -0.624 4.693